No. 1
## Rb3NaP (PBE)

Data for an optimized crystal structure of Rb3NaP.

Spin magnetization, Bohr magnetons per cell: 1.00
Formation energy from the elements, eV per formula unit: 0.2
D(E_F), states/eV per atom: 2.440

Unit cell a=6.704 b=6.704 c=6.704 alpha=90.00 beta=90.00 gamma=90.00
Positions (direct):
Rb 0.000 0.500 0.000
Rb 0.000 0.000 0.500
Na 0.500 0.500 0.500
Rb 0.500 0.000 0.000
P 0.000 0.000 0.000

***

No. 2
## RbNa2P (PBE)

Data for an optimized crystal structure of RbNa2P.

Spin magnetization, Bohr magnetons per cell: 0.00
Formation energy from the elements, eV per formula unit: -1.0
D(E_F), states/eV per atom: 0.190

Unit cell a=4.943 b=4.943 c=6.507 alpha=67.68 beta=67.68 gamma=60.00
Positions (direct):
P 0.500 0.500 0.500
Rb 0.000 0.000 0.000
Na 0.201 0.201 0.398
Na 0.799 0.799 0.602

***

No. 3
## RbNaP (PBE)

Data for an optimized crystal structure of RbNaP.

Spin magnetization, Bohr magnetons per cell: 0.00
Formation energy from the elements, eV per formula unit: 0.1
D(E_F), states/eV per atom: 0.437

Unit cell a=3.453 b=8.407 c=18.099 alpha=158.23 beta=90.00 gamma=90.00
Positions (direct):
Na 0.000 0.137 0.983
P 0.000 0.663 0.905
Rb 0.500 0.894 0.679
P 0.000 0.963 0.288
Na 0.500 0.921 0.141
Rb 0.000 0.880 0.439

***

No. 4
## RbNaP3 (PBE)

Data for an optimized crystal structure of RbNaP3.

Spin magnetization, Bohr magnetons per cell: 0.00
Formation energy from the elements, eV per formula unit: 4.7
D(E_F), states/eV per atom: 0.896

Unit cell a=5.115 b=5.115 c=5.115 alpha=90.00 beta=90.00 gamma=90.00
Positions (direct):
P 0.000 0.000 0.500
Rb 0.500 0.500 0.500
Na 0.000 0.000 0.000
P 0.000 0.500 0.000
P 0.500 0.000 0.000

***

No. 5
## RbNaP (PBE)

Data for an optimized crystal structure of RbNaP.

Spin magnetization, Bohr magnetons per cell: 0.23
Formation energy from the elements, eV per formula unit: -0.1
D(E_F), states/eV per atom: 1.287

Unit cell a=3.865 b=5.173 c=5.173 alpha=120.00 beta=90.00 gamma=90.00
Positions (direct):
P 0.167 0.000 0.000
Rb 0.667 0.667 0.333
Na 0.167 0.333 0.667

***

No. 6
## RbNa2P2 (PBE)

Data for an optimized crystal structure of RbNa2P2.

Spin magnetization, Bohr magnetons per cell: 0.00
Formation energy from the elements, eV per formula unit: -0.4
D(E_F), states/eV per atom: 0.449

Unit cell a=8.925 b=8.925 c=2.934 alpha=90.00 beta=90.00 gamma=90.00
Positions (direct):
P 0.829 0.329 0.500
P 0.671 0.829 0.500
Rb 0.000 0.000 0.000
Na 0.377 0.877 0.000
Na 0.877 0.623 0.000
P 0.171 0.671 0.500
P 0.329 0.171 0.500
Na 0.623 0.123 0.000
Rb 0.500 0.500 0.000
Na 0.123 0.377 0.000

***

Among the records above, which one has the highest spin magnetization? Rb3NaP

***

spin magnetization of number 2 (RbNa2P)? 0.00 Bohr magnetons per cell

***

What is the spin magnetization in the sixth record? 0.00 Bohr magnetons per cell

***

The highest D(E_F) belongs to which entry? Rb3NaP